Compound: Pm2ScAl
Source: Alexandria via LeMat-Bulk
Functional: PBE-GGA
Structure: relaxed

Results
The value obtained for the energy of formation is -0.175 eV per atom. The calculation puts the energy relative to the lowest polymorph listed for this composition at 0.008 eV/atom. The final energy comes out at -5.07 eV per atom.

```
4
Lattice="4.743 0.000 0.000 0.000 4.743 0.000 0.000 0.000 4.718" Properties=species:S:1:pos:R:3 pbc="T T T"
Pm 0.000 2.371 0.000
Pm 2.371 0.000 0.000
Sc 0.000 0.000 2.359
Al 2.371 2.371 2.359
```

=====

Compound: ZnNi6Mo
Source: Alexandria via LeMat-Bulk
Functional: PBE-GGA
Structure: relaxed

Results
The value obtained for the energy of formation is -0.138 eV per atom. The calculation puts the energy relative to the lowest polymorph listed for this composition at 0.000 eV/atom. The final energy comes out at -5.99 eV per atom.

```
8
Lattice="3.608 0.000 0.000 0.000 3.608 0.000 0.000 0.000 7.177" Properties=species:S:1:pos:R:3 pbc="T T T"
Zn 0.000 0.000 0.000
Ni 0.000 1.804 1.810
Ni 0.000 1.804 5.367
Ni 1.804 0.000 1.810
Ni 1.804 0.000 5.367
Ni 1.804 1.804 0.000
Ni 1.804 1.804 3.588
Mo 0.000 0.000 3.588
```

=====

Compound: Y2HoZrP4
Source: Alexandria via LeMat-Bulk
Functional: PBE-GGA
Structure: relaxed

Results
The value obtained for the energy of formation is -1.558 eV per atom. The final energy comes out at -7.52 eV per atom.

```
8
Lattice="6.804 0.000 0.000 0.000 3.925 0.000 -2.247 0.000 6.425" Properties=species:S:1:pos:R:3 pbc="T T T"
Y 0.000 0.000 0.000
Y 3.402 1.962 0.000
Ho -1.124 1.962 3.213
Zr 2.279 0.000 3.213
P 0.064 0.000 4.772
P 1.184 1.962 1.680
P 3.374 1.962 4.745
P 4.493 0.000 1.653
```

=====

Compound: Te2Pb
Source: Alexandria via LeMat-Bulk
Functional: PBE-GGA
Structure: relaxed

Results
The final energy comes out at -3.34 eV per atom.

```
6
Lattice="5.721 0.000 0.000 -2.860 4.954 0.000 0.000 0.000 6.529" Properties=species:S:1:pos:R:3 pbc="T T T"
Te 0.000 0.000 0.000
Te 0.000 0.000 3.264
Te 0.000 3.303 1.632
Te 2.860 1.651 4.896
Pb 0.000 3.303 4.896
Pb 2.860 1.651 1.632
```

=====

Compound: LiGa2SnO6
Source: Alexandria via LeMat-Bulk
Functional: PBE-GGA
Structure: relaxed

Results
The final energy comes out at -5.79 eV per atom.

```
20
Lattice="4.841 -4.628 0.000 4.841 4.628 0.000 -1.120 0.000 5.391" Properties=species:S:1:pos:R:3 pbc="T T T"
Li 4.001 2.593 4.043
Li 4.561 -2.593 1.348
Ga 0.917 0.813 4.313
Ga 1.477 -0.813 1.618
Ga 7.085 0.813 3.774
Ga 7.645 -0.813 1.078
Sn 4.561 0.882 1.348
Sn 4.001 -0.882 4.043
O 1.107 0.672 0.542
O 3.222 2.274 1.984
O 0.547 -0.672 3.238
O 2.757 0.706 4.752
O 5.901 2.274 0.711
O 3.316 -0.706 2.057
O 5.246 0.706 3.335
O 2.662 -2.274 4.680
O 5.806 -0.706 0.639
O 8.015 0.672 2.153
O 5.341 -2.274 3.407
O 7.456 -0.672 4.849
```

=====

Compound: YEr5Tm2Sc
Source: Alexandria via LeMat-Bulk
Functional: PBE-GGA
Structure: relaxed

Results
The value obtained for the energy of formation is 0.178 eV per atom. The final energy comes out at -4.77 eV per atom.

```
18
Lattice="2.742 -9.861 0.000 2.742 9.861 0.000 0.000 0.000 10.232" Properties=species:S:1:pos:R:3 pbc="T T T"
Y 2.742 8.071 5.116
Y 2.742 -8.071 0.000
Er 2.742 9.479 8.041
Er 2.742 7.474 0.702
Er 2.742 5.919 7.699
Er 2.742 5.427 3.744
Er 2.742 0.334 0.659
Er 2.742 -0.334 5.775
Er 2.742 -5.427 8.860
Er 2.742 -5.919 2.583
Er 2.742 -7.474 5.818
Er 2.742 -9.479 2.925
Tm 2.742 2.251 8.009
Tm 2.742 2.192 3.664
Tm 2.742 -2.192 8.780
Tm 2.742 -2.251 2.893
Sc 2.742 3.861 0.626
Sc 2.742 -3.861 5.742
```

=====

Compound: Be2TlAs
Source: Alexandria via LeMat-Bulk
Functional: PBE-GGA
Structure: relaxed

Results
The value obtained for the energy of formation is 0.588 eV per atom. The calculation puts the energy relative to the lowest polymorph listed for this composition at 0.385 eV/atom. The final energy comes out at -3.03 eV per atom.

```
4
Lattice="1.812 -3.016 0.000 1.812 3.016 0.000 0.000 0.000 6.866" Properties=species:S:1:pos:R:3 pbc="T T T"
Be 0.000 0.000 1.289
Be 0.000 0.000 5.577
Tl 1.812 0.000 3.433
As 1.812 0.000 0.000
```

=====

Compound: Sm4Ho2Er3
Source: Alexandria via LeMat-Bulk
Functional: PBE-GGA
Structure: relaxed

Results
The value obtained for the energy of formation is 0.046 eV per atom. The calculation puts the energy relative to the lowest polymorph listed for this composition at 0.000 eV/atom. The final energy comes out at -4.59 eV per atom.

```
18
Lattice="8.421 -4.876 0.000 8.421 4.876 0.000 -0.008 0.000 7.015" Properties=species:S:1:pos:R:3 pbc="T T T"
Sm 8.143 3.269 0.003
Sm 5.484 1.422 7.009
Sm 8.694 3.269 3.504
Sm 5.488 -1.422 3.502
Sm 11.345 1.422 3.513
Sm 8.139 -3.269 3.510
Sm 11.350 -1.422 0.006
Sm 8.690 -3.269 7.012
Ho 5.730 1.845 3.502
Ho 11.107 1.845 0.005
Ho 5.726 -1.845 7.009
Ho 11.103 -1.845 3.513
Er 2.859 0.006 1.751
Er 2.854 -0.006 5.258
Er 8.415 0.006 5.261
Er 8.419 -0.006 1.754
Er 13.979 0.006 1.757
Er 13.975 -0.006 5.264
```